Record 1
# DyTm2Zr

A relaxed structure of DyTm2Zr (PBE, Alexandria).

The structure in CIF format:
```
data_DyTm2Zr
_chemical_formula_sum 'Dy1 Tm2 Zr1'
_symmetry_space_group_name_H-M 'P 4/m m m'
_symmetry_Int_Tables_number 123
_symmetry_space_group_name_Hall '-P 4 2'
_cell_length_a 3.401
_cell_length_b 3.401
_cell_length_c 9.752
_cell_angle_alpha 90.00
_cell_angle_beta 90.00
_cell_angle_gamma 90.00
loop_
_atom_site_label
_atom_site_type_symbol
_atom_site_fract_x
_atom_site_fract_y
_atom_site_fract_z
Dy1 Dy 0.000 0.000 0.000
Tm1 Tm 0.500 0.500 0.268
Zr1 Zr 0.000 0.000 0.500
```

Formation energy from the elements: 57 meV per atom
N(E_F): 1.35 states/eV/atom
Distance to the lowest polymorph of the same formula: 0.000 eV per atom
Uncorrected energy: -5.47 eV per atom

Record 2
# Dy5Tm4Zr

A relaxed structure of Dy5Tm4Zr (PBE, Alexandria).

The structure in CIF format:
```
data_Dy5Tm4Zr
_chemical_formula_sum 'Dy5 Tm4 Zr1'
_symmetry_space_group_name_H-M 'P -1'
_symmetry_Int_Tables_number 2
_cell_length_a 3.477
_cell_length_b 9.209
_cell_length_c 9.844
_cell_angle_alpha 105.53
_cell_angle_beta 90.10
_cell_angle_gamma 100.85
loop_
_symmetry_equiv_pos_as_xyz
'x,y,z'
'-x,-y,-z'
loop_
_atom_site_label
_atom_site_type_symbol
_atom_site_fract_x
_atom_site_fract_y
_atom_site_fract_z
Dy1 Dy 0.000 0.000 0.000
Dy2 Dy 0.196 0.394 0.599
Dy3 Dy 0.200 0.399 0.100
Tm1 Tm 0.403 0.806 0.212
Tm2 Tm 0.405 0.809 0.692
Zr1 Zr 0.000 0.000 0.500
```

Formation energy from the elements: 43 meV per atom
N(E_F): 1.35 states/eV/atom
Distance to the lowest polymorph of the same formula: 0.000 eV per atom
Uncorrected energy: -4.90 eV per atom

Record 3
# Dy8Tm5Zr

A relaxed structure of Dy8Tm5Zr (PBE, Alexandria).

The structure in CIF format:
```
data_Dy8Tm5Zr
_chemical_formula_sum 'Dy16 Tm10 Zr2'
_symmetry_space_group_name_H-M 'C 1 2 1'
_symmetry_Int_Tables_number 5
_cell_length_a 15.013
_cell_length_b 8.071
_cell_length_c 8.349
_cell_angle_alpha 90.00
_cell_angle_beta 119.54
_cell_angle_gamma 90.00
loop_
_symmetry_equiv_pos_as_xyz
'x,y,z'
'-x,y,-z'
'x+1/2,y+1/2,z'
'-x+1/2,y+1/2,-z'
loop_
_atom_site_label
_atom_site_type_symbol
_atom_site_fract_x
_atom_site_fract_y
_atom_site_fract_z
Dy1 Dy 0.123 0.000 0.184
Dy2 Dy 0.179 0.408 0.221
Dy3 Dy 0.184 0.230 0.566
Dy4 Dy 0.185 0.714 0.931
Tm1 Tm 0.000 0.967 0.500
Tm2 Tm 0.050 0.321 0.784
Tm3 Tm 0.109 0.631 0.472
Zr1 Zr 0.000 0.643 0.000
```

Formation energy from the elements: 205 meV per atom
N(E_F): 1.43 states/eV/atom
Uncorrected energy: -4.63 eV per atom